1.
The following is a PBE calculation of a relaxed structure of RbSmI3, from the Open Quantum Materials Database.

Geometry as extended XYZ:
```
20
Lattice="10.429 0.000 0.000 0.000 4.399 0.000 0.000 0.000 18.150" Properties=species:S:1:pos:R:3 pbc="T T T"
Rb 0.775 1.100 3.192
Rb 4.439 3.299 12.267
Rb 5.990 1.100 5.883
Rb 9.654 3.299 14.958
Sm 1.352 3.299 8.290
Sm 3.862 1.100 17.365
Sm 6.567 3.299 0.785
Sm 9.077 1.100 9.860
I 0.465 3.299 11.335
I 1.754 3.299 0.152
I 2.297 1.100 14.589
I 2.917 3.299 5.514
I 3.461 1.100 9.227
I 4.749 1.100 2.261
I 5.680 3.299 15.889
I 6.968 3.299 8.923
I 7.512 1.100 12.636
I 8.132 3.299 3.561
I 8.675 1.100 17.998
I 9.964 1.100 6.814
```

Properties
The value obtained for the total energy is -3.405 eV per atom.

2.
The following is a PBE calculation of a relaxed structure of Rb3SmI6, from the Open Quantum Materials Database.

Geometry as extended XYZ:
```
20
Lattice="8.743 0.000 0.000 0.000 9.382 0.000 -8.358 0.000 12.473" Properties=species:S:1:pos:R:3 pbc="T T T"
Rb 0.000 0.000 0.000
Rb -4.179 4.691 6.237
Rb -4.390 0.786 9.250
Rb -0.212 3.905 3.014
Rb 0.597 5.477 9.459
Rb 4.776 8.596 3.223
Sm 0.193 0.000 6.237
Sm 4.372 4.691 0.000
I -2.328 1.656 5.525
I -6.506 3.035 11.762
I -1.249 6.792 5.269
I -5.428 7.281 11.506
I 1.301 0.520 3.389
I -2.878 4.171 9.626
I 3.263 5.211 2.847
I -0.916 8.862 9.084
I 5.813 2.101 0.967
I 1.634 2.590 7.204
I 6.892 6.346 0.712
I 2.713 7.726 6.948
```

Properties
The value obtained for the total energy is -3.170 eV per atom.

3.
The following is a PBE calculation of a relaxed structure of Rb2SmI4, from the Open Quantum Materials Database.

Geometry as extended XYZ:
```
14
Lattice="9.310 0.000 0.000 0.000 8.269 0.000 -2.730 0.000 9.563" Properties=species:S:1:pos:R:3 pbc="T T T"
Rb 1.914 2.067 0.440
Rb 0.675 2.067 5.460
Rb 5.905 6.202 4.103
Rb 4.666 6.202 9.123
Sm 0.164 6.202 7.649
Sm 6.416 2.067 1.915
I -0.586 0.064 2.482
I -0.586 4.070 2.482
I 3.744 6.202 0.939
I 2.530 6.202 5.851
I 4.050 2.067 3.712
I 2.836 2.067 8.624
I 7.166 4.199 7.082
I 7.166 8.204 7.082
```

Properties
The value obtained for the total energy is -3.053 eV per atom.

Please write out number 3 again, unchanged.
The following is a PBE calculation of a relaxed structure of Rb2SmI4, from the Open Quantum Materials Database.

Geometry as extended XYZ:
```
14
Lattice="9.310 0.000 0.000 0.000 8.269 0.000 -2.730 0.000 9.563" Properties=species:S:1:pos:R:3 pbc="T T T"
Rb 1.914 2.067 0.440
Rb 0.675 2.067 5.460
Rb 5.905 6.202 4.103
Rb 4.666 6.202 9.123
Sm 0.164 6.202 7.649
Sm 6.416 2.067 1.915
I -0.586 0.064 2.482
I -0.586 4.070 2.482
I 3.744 6.202 0.939
I 2.530 6.202 5.851
I 4.050 2.067 3.712
I 2.836 2.067 8.624
I 7.166 4.199 7.082
I 7.166 8.204 7.082
```

Properties
The value obtained for the total energy is -3.053 eV per atom.

Copy entry 3 word for word.
The following is a PBE calculation of a relaxed structure of Rb2SmI4, from the Open Quantum Materials Database.

Geometry as extended XYZ:
```
14
Lattice="9.310 0.000 0.000 0.000 8.269 0.000 -2.730 0.000 9.563" Properties=species:S:1:pos:R:3 pbc="T T T"
Rb 1.914 2.067 0.440
Rb 0.675 2.067 5.460
Rb 5.905 6.202 4.103
Rb 4.666 6.202 9.123
Sm 0.164 6.202 7.649
Sm 6.416 2.067 1.915
I -0.586 0.064 2.482
I -0.586 4.070 2.482
I 3.744 6.202 0.939
I 2.530 6.202 5.851
I 4.050 2.067 3.712
I 2.836 2.067 8.624
I 7.166 4.199 7.082
I 7.166 8.204 7.082
```

Properties
The value obtained for the total energy is -3.053 eV per atom.